[1]
A geometry-optimized Er3TlPd structure. Source: the Alexandria database, functional PBE.

```
Er3TlPd
1.0
6.669 -5.591 0.000
6.669 5.591 0.000
-0.002 0.000 7.394
Er Tl Pd
12 4 4
direct
0.029 0.193 0.406
0.066 0.434 0.783
0.193 0.029 0.906
0.307 0.470 0.406
0.434 0.066 0.283
0.470 0.307 0.906
0.530 0.693 0.094
0.566 0.934 0.717
0.693 0.530 0.594
0.807 0.971 0.094
0.934 0.566 0.217
0.971 0.807 0.594
0.184 0.816 0.250
0.317 0.683 0.750
0.683 0.317 0.250
0.816 0.184 0.750
0.190 0.309 0.116
0.309 0.190 0.616
0.691 0.810 0.384
0.810 0.691 0.884
```

Output
Electronic total energy, eV per atom: -4.6706
SG: C2/c (15)
Calculated density, g/cm³: 9.8
Energy of formation, kcal/mol of atoms: -9.710
N(E_F), states/eV per cell: 19.172



[2]
A geometry-optimized Th6InRh structure. Source: the Alexandria database, functional PBE.

```
Th6InRh
1.0
5.089 2.938 2.848
-5.089 2.938 2.848
0.000 -5.876 2.848
Th In Rh
6 1 1
direct
0.199 0.199 0.605
0.199 0.605 0.199
0.395 0.801 0.801
0.605 0.199 0.199
0.801 0.395 0.801
0.801 0.801 0.395
0.000 0.000 0.000
0.500 0.500 0.500
```

Output
Electronic total energy, eV per atom: -6.8592
SG: R-3m (166)
Calculated density, g/cm³: 10.5
Energy of formation, kcal/mol of atoms: -0.763
N(E_F), states/eV per cell: 9.678



[3]
A geometry-optimized BaInGa3 structure. Source: the Alexandria database, functional PBE.

```
BaInGa3
1.0
6.018 0.000 0.000
0.000 6.018 0.000
0.000 0.000 6.018
Ba In Ga
1 1 3
direct
0.000 0.000 0.000
0.500 0.500 0.500
0.000 0.000 0.500
0.000 0.500 0.000
0.500 0.000 0.000
```

Output
Electronic total energy, eV per atom: -1.8694
SG: Pm-3m (221)
Offset from the most stable computed form, meV/atom: 1276
Calculated density, g/cm³: 3.5
Energy of formation, kcal/mol of atoms: 20.269
N(E_F), states/eV per cell: 7.612